# 1
The following is a SCAN calculation of a crystal of TeCl relaxed with PBEsol, from Alexandria. Values from VASP.

Quantum ESPRESSO input file:
```
&SYSTEM
  ibrav = 0, nat = 4, ntyp = 2
/
ATOMIC_SPECIES
Te 127.60 Te.upf
Cl 35.45 Cl.upf
CELL_PARAMETERS angstrom
4.062 0.000 0.000
2.031 3.518 0.000
2.031 1.173 8.253
ATOMIC_POSITIONS angstrom
Te 2.031 1.173 0.898
Te 6.093 3.518 7.354
Cl 2.031 1.173 5.624
Cl 6.093 3.518 2.629
```

Its total magnetization is 0.0001 μB per atom. The formation energy (no corrections) is -0.336 eV per atom.


# 2
The following is a SCAN calculation of a crystal of TiTe3Cl relaxed with PBEsol, from Alexandria. Values from VASP.

Quantum ESPRESSO input file:
```
&SYSTEM
  ibrav = 0, nat = 5, ntyp = 3
/
ATOMIC_SPECIES
Cl 35.45 Cl.upf
Te 127.60 Te.upf
Ti 47.87 Ti.upf
CELL_PARAMETERS angstrom
-1.588 -4.955 -0.251
3.624 -1.338 3.495
-3.389 0.890 3.855
ATOMIC_POSITIONS angstrom
Cl 0.000 0.000 0.000
Te 1.812 -0.669 1.747
Te -1.694 0.445 1.928
Te -0.794 -2.478 -0.126
Ti -0.676 -2.702 3.549
```

Its total magnetization is 0.3124 μB per atom. The formation energy (no corrections) is 0.711 eV per atom.


# 3
The following is a SCAN calculation of a crystal of Ti2TeCl relaxed with PBEsol, from Alexandria. Values from VASP.

Quantum ESPRESSO input file:
```
&SYSTEM
  ibrav = 0, nat = 8, ntyp = 3
/
ATOMIC_SPECIES
Cl 35.45 Cl.upf
Te 127.60 Te.upf
Ti 47.87 Ti.upf
CELL_PARAMETERS angstrom
-2.336 -1.168 4.160
-3.890 -1.490 -2.603
5.934 -5.469 -1.102
ATOMIC_POSITIONS angstrom
Cl 0.243 -3.983 1.918
Cl -3.113 -1.329 0.778
Te -0.534 -4.144 -1.463
Te 0.000 0.000 0.000
Ti -2.976 -3.199 -0.673
Ti -1.839 -2.858 2.068
Ti 3.373 -4.549 -0.833
Ti 0.859 -5.648 0.347
```

Its total magnetization is 1.2350 μB per atom. The formation energy (no corrections) is -0.404 eV per atom.


# 4
The following is a SCAN calculation of a crystal of Tl2TeCl relaxed with PBEsol, from Alexandria. Values from VASP.

Quantum ESPRESSO input file:
```
&SYSTEM
  ibrav = 0, nat = 4, ntyp = 3
/
ATOMIC_SPECIES
Tl 204.38 Tl.upf
Te 127.60 Te.upf
Cl 35.45 Cl.upf
CELL_PARAMETERS angstrom
-3.171 -2.171 -1.993
-0.776 -2.209 3.641
-2.155 6.582 0.961
ATOMIC_POSITIONS angstrom
Tl 0.000 0.000 0.000
Tl -3.650 1.111 -0.104
Te -2.452 1.092 2.713
Cl -1.973 -2.190 0.824
```

Its total magnetization is 0.0000 μB per atom. The calculation puts the polymorph energy (0 for the lowest one) at 82.8 meV per atom. The formation energy (no corrections) is -0.490 eV per atom.


# 5
The following is a SCAN calculation of a crystal of Tl2TeCl relaxed with PBEsol, from Alexandria. Values from VASP.

Quantum ESPRESSO input file:
```
&SYSTEM
  ibrav = 0, nat = 4, ntyp = 3
/
ATOMIC_SPECIES
Tl 204.38 Tl.upf
Te 127.60 Te.upf
Cl 35.45 Cl.upf
CELL_PARAMETERS angstrom
5.369 0.000 0.000
2.684 4.649 0.000
2.684 1.550 4.384
ATOMIC_POSITIONS angstrom
Tl 2.684 1.550 1.096
Tl 8.053 4.649 3.288
Te 5.369 3.100 2.192
Cl 0.000 0.000 0.000
```

Its total magnetization is 0.0000 μB per atom. The calculation puts the polymorph energy (0 for the lowest one) at 62.5 meV per atom. The formation energy (no corrections) is -0.510 eV per atom.


# 6
The following is a SCAN calculation of a crystal of Tl2TeCl6 relaxed with PBEsol, from Alexandria. Values from VASP.

Quantum ESPRESSO input file:
```
&SYSTEM
  ibrav = 0, nat = 9, ntyp = 3
/
ATOMIC_SPECIES
Cl 35.45 Cl.upf
Te 127.60 Te.upf
Tl 204.38 Tl.upf
CELL_PARAMETERS angstrom
7.040 0.000 0.000
3.520 6.097 0.000
3.520 2.032 5.748
ATOMIC_POSITIONS angstrom
Cl 8.772 5.064 1.460
Cl 5.309 3.065 4.288
Cl 5.309 5.064 1.460
Cl 8.772 3.065 4.288
Cl 7.040 2.065 1.460
Cl 7.040 6.064 4.288
Te 0.000 0.000 0.000
Tl 10.560 6.097 4.311
Tl 3.520 2.032 1.437
```

Its total magnetization is 0.0000 μB per atom. The formation energy (no corrections) is -0.897 eV per atom.


# 7
The following is a SCAN calculation of a crystal of Tl2TeCl relaxed with PBEsol, from Alexandria. Values from VASP.

Quantum ESPRESSO input file:
```
&SYSTEM
  ibrav = 0, nat = 4, ntyp = 3
/
ATOMIC_SPECIES
Tl 204.38 Tl.upf
Te 127.60 Te.upf
Cl 35.45 Cl.upf
CELL_PARAMETERS angstrom
4.498 0.000 0.000
2.249 3.896 0.000
2.249 1.299 7.088
ATOMIC_POSITIONS angstrom
Tl 2.249 1.299 1.777
Tl 6.747 3.896 5.311
Te 0.000 0.000 0.000
Cl 4.498 2.597 3.544
```

Its total magnetization is 0.0000 μB per atom. The calculation puts the polymorph energy (0 for the lowest one) at 78.2 meV per atom. The formation energy (no corrections) is -0.495 eV per atom.


# 8
The following is a SCAN calculation of a crystal of Tl2TeCl relaxed with PBEsol, from Alexandria. Values from VASP.

Quantum ESPRESSO input file:
```
&SYSTEM
  ibrav = 0, nat = 4, ntyp = 3
/
ATOMIC_SPECIES
Tl 204.38 Tl.upf
Te 127.60 Te.upf
Cl 35.45 Cl.upf
CELL_PARAMETERS angstrom
4.401 0.000 0.000
0.000 4.402 0.000
0.000 0.000 6.455
ATOMIC_POSITIONS angstrom
Tl 3.851 2.201 0.000
Tl 1.651 0.000 3.227
Te 3.851 2.201 3.227
Cl 1.648 0.000 0.000
```

Its total magnetization is 0.0004 μB per atom. The calculation puts the polymorph energy (0 for the lowest one) at 0.0 meV per atom. The formation energy (no corrections) is -0.573 eV per atom.


# 9
The following is a SCAN calculation of a crystal of Tl2Te2Cl relaxed with PBEsol, from Alexandria. Values from VASP.

Quantum ESPRESSO input file:
```
&SYSTEM
  ibrav = 0, nat = 5, ntyp = 3
/
ATOMIC_SPECIES
Tl 204.38 Tl.upf
Te 127.60 Te.upf
Cl 35.45 Cl.upf
CELL_PARAMETERS angstrom
4.302 0.000 0.000
0.000 4.302 0.000
-2.151 -2.151 8.632
ATOMIC_POSITIONS angstrom
Tl 0.000 0.000 7.031
Tl 2.151 2.151 1.601
Te 0.000 2.151 4.316
Te 2.151 0.000 4.316
Cl 0.000 0.000 0.000
```

Its total magnetization is 0.0001 μB per atom. The formation energy (no corrections) is -0.507 eV per atom.


# 10
The following is a SCAN calculation of a crystal of Tl2TeCl relaxed with PBEsol, from Alexandria. Values from VASP.

Quantum ESPRESSO input file:
```
&SYSTEM
  ibrav = 0, nat = 4, ntyp = 3
/
ATOMIC_SPECIES
Tl 204.38 Tl.upf
Te 127.60 Te.upf
Cl 35.45 Cl.upf
CELL_PARAMETERS angstrom
5.354 0.000 0.000
2.677 4.637 0.000
2.677 1.546 4.371
ATOMIC_POSITIONS angstrom
Tl 0.000 0.000 0.000
Tl 8.031 4.637 3.279
Te 2.677 1.546 1.093
Cl 5.354 3.091 2.186
```

Its total magnetization is 0.0000 μB per atom. The calculation puts the polymorph energy (0 for the lowest one) at 267.7 meV per atom. The formation energy (no corrections) is -0.305 eV per atom.


# 11
The following is a SCAN calculation of a crystal of TlTe4Cl relaxed with PBEsol, from Alexandria. Values from VASP.

Quantum ESPRESSO input file:
```
&SYSTEM
  ibrav = 0, nat = 6, ntyp = 3
/
ATOMIC_SPECIES
Tl 204.38 Tl.upf
Te 127.60 Te.upf
Cl 35.45 Cl.upf
CELL_PARAMETERS angstrom
6.270 0.000 0.000
3.135 5.430 0.000
3.135 1.810 5.119
ATOMIC_POSITIONS angstrom
Tl 9.405 5.430 3.839
Te 4.697 2.712 1.918
Te 6.270 3.620 4.486
Te 7.842 2.712 1.918
Te 6.270 5.436 1.918
Cl 0.000 0.000 0.000
```

Its total magnetization is 0.0000 μB per atom. The formation energy (no corrections) is -0.065 eV per atom.


# 12
The following is a SCAN calculation of a crystal of Te4WCl6 relaxed with PBEsol, from Alexandria. Values from VASP.

Quantum ESPRESSO input file:
```
&SYSTEM
  ibrav = 0, nat = 44, ntyp = 3
/
ATOMIC_SPECIES
Te 127.60 Te.upf
W 183.84 W.upf
Cl 35.45 Cl.upf
CELL_PARAMETERS angstrom
-3.891 -11.084 0.741
7.692 -9.042 -1.379
0.104 -5.022 10.617
ATOMIC_POSITIONS angstrom
Te 4.279 -16.866 6.076
Te 1.969 -17.001 9.514
Te 2.117 -5.903 5.045
Te 1.421 -16.701 5.894
Te -0.792 -10.660 2.559
Te -0.373 -8.282 3.903
Te -0.159 -6.514 1.546
Te 4.014 -10.348 -0.601
Te 4.065 -18.634 8.433
Te 4.698 -14.488 7.420
Te 1.936 -8.147 0.465
Te 2.463 -20.583 7.303
Te 2.484 -8.447 4.085
Te 1.443 -4.565 2.676
Te 1.788 -19.245 4.935
Te -0.109 -14.800 10.580
W 4.690 -12.628 3.362
W -0.785 -12.520 6.618
W 1.446 -7.694 9.252
W 2.460 -17.454 0.728
Cl -0.352 -3.022 0.178
Cl -1.063 -11.534 8.689
Cl -0.506 -13.585 4.540
Cl 2.001 -9.907 9.332
Cl 4.411 -11.563 5.439
Cl 3.919 -17.099 2.484
Cl 4.257 -22.126 9.801
Cl 3.160 -11.102 2.430
Cl 6.787 -8.640 0.066
Cl -2.489 -14.012 7.086
Cl -0.686 -18.446 8.464
Cl 4.592 -6.703 1.516
Cl 0.968 -11.145 6.118
Cl 2.938 -14.003 3.861
Cl -1.037 -13.341 1.127
Cl -2.882 -16.508 9.913
Cl 6.394 -11.136 2.893
Cl -2.262 -11.018 5.649
Cl 4.942 -11.807 8.852
Cl 1.904 -15.241 0.647
Cl -0.014 -8.049 7.495
Cl 6.167 -14.130 4.330
Cl 0.745 -14.046 7.550
Cl 4.968 -13.614 1.290
```

Its total magnetization is 0.0917 μB per atom. The formation energy (no corrections) is -0.580 eV per atom.


# 13
The following is a SCAN calculation of a crystal of Te2WCl relaxed with PBEsol, from Alexandria. Values from VASP.

Quantum ESPRESSO input file:
```
&SYSTEM
  ibrav = 0, nat = 4, ntyp = 3
/
ATOMIC_SPECIES
Te 127.60 Te.upf
W 183.84 W.upf
Cl 35.45 Cl.upf
CELL_PARAMETERS angstrom
-2.448 -0.932 -1.952
2.054 -1.925 -1.658
-1.662 -6.059 4.976
ATOMIC_POSITIONS angstrom
Te -1.315 -4.792 3.936
Te -0.348 -1.267 1.041
W -0.197 -1.428 -1.805
Cl -1.028 -4.458 0.683
```

Its total magnetization is 0.0000 μB per atom. The calculation puts the polymorph energy (0 for the lowest one) at 140.0 meV per atom. The formation energy (no corrections) is 0.128 eV per atom.